No. 1
First-principles (PBEsol) data for crystalline LiMnPt2 at its relaxed geometry, as listed in Alexandria via LeMat-Bulk.

Unit cell a=2.7607 b=4.5056 c=4.7976 alpha=99.66 beta=90.00 gamma=107.84
Last column: nearest neighbours and their distance in Å.
Fractional positions:
Li 0.5000 0.0000 0.0000  6 Pt 2.61-2.66, 2 Li 2.76, 4 Mn 2.77
Mn 0.0000 0.0000 0.5000  6 Pt 2.64-2.66, 2 Mn 2.76, 4 Li 2.77
Pt 0.7475 0.4950 0.7532  3 Li 2.61-2.66, 3 Mn 2.64-2.66, 6 Pt 2.73-2.80
Pt 0.2525 0.5050 0.2468  3 Li 2.61-2.66, 3 Mn 2.64-2.66, 6 Pt 2.73-2.80

Computed properties:
- ΔE to the lowest computed polymorph (meV/atom) = 134.2
- final energy (Ry per atom) = -0.4903
- SG = C2/m, No. 12
- total magnetic moment (μB/cell) = 4.325
- energy relative to the elements (eV per atom) = -0.2578



No. 2
First-principles (PBEsol) data for crystalline TaCoGeMo2 at its relaxed geometry, as listed in Alexandria via LeMat-Bulk.

Unit cell a=4.1571 b=4.4550 c=4.4550 alpha=90.00 beta=90.00 gamma=90.00
Last column: nearest neighbours and their distance in Å.
Fractional positions:
Mo 0.0000 0.0000 0.5000  2 Co 2.23
Mo 0.0000 0.5000 0.0000  2 Co 2.23
Co 0.0000 0.0000 0.0000  2 Ge 2.08, 4 Mo 2.23
Ge 0.5000 0.0000 0.0000  2 Co 2.08
Ta 0.5000 0.5000 0.5000  8 Mo 3.05, 4 Ge 3.15

Computed properties:
- final energy (Ry per atom) = -0.6521
- SG = P4/mmm, No. 123
- total magnetic moment (μB/cell) = 0.001
- energy relative to the elements (eV per atom) = 0.8799



No. 3
First-principles (PBEsol) data for crystalline BaZr3Cl at its relaxed geometry, as listed in Alexandria via LeMat-Bulk.

Unit cell a=4.9749 b=4.9749 c=4.9749 alpha=90.00 beta=90.00 gamma=90.00
Last column: nearest neighbours and their distance in Å.
Fractional positions:
Ba 0.5000 0.5000 0.5000  12 Zr 3.52
Zr 0.0000 0.5000 0.0000  2 Cl 2.49
Zr 0.0000 0.0000 0.5000  2 Cl 2.49
Zr 0.5000 0.0000 0.0000  2 Cl 2.49
Cl 0.0000 0.0000 0.0000  6 Zr 2.49

Computed properties:
- final energy (Ry per atom) = -0.4537
- SG = Pm-3m, No. 221
- total magnetic moment (μB/cell) = 0.002
- formation energy without anion corrections (eV/atom) = 0.11



No. 4
First-principles (PBEsol) data for crystalline ZrCd2Au at its relaxed geometry, as listed in Alexandria via LeMat-Bulk.

Unit cell a=3.0797 b=3.2100 c=7.9130 alpha=90.00 beta=90.00 gamma=90.00
Last column: nearest neighbours and their distance in Å.
Fractional positions:
Au 0.5000 0.5000 0.7493  4 Zr 2.88, 4 Cd 2.91, 4 Au 3.08-3.21
Zr 0.0000 0.0000 0.5172  4 Au 2.88, 4 Zr 3.08-3.21, 4 Cd 3.09
Cd 0.0000 0.0000 0.9870  4 Au 2.91, 8 Cd 3.03-3.21
Cd 0.5000 0.5000 0.2465  8 Cd 3.03-3.21, 4 Zr 3.09

Computed properties:
- final energy (Ry per atom) = -0.3032
- SG = Pmm2, No. 25
- total magnetic moment (μB/cell) = 0.000
- energy relative to the elements (eV per atom) = -0.2734



No. 5
First-principles (PBEsol) data for crystalline Ag2PtAu at its relaxed geometry, as listed in Alexandria via LeMat-Bulk.

Unit cell a=4.0624 b=4.0624 c=4.8504 alpha=114.76 beta=114.76 gamma=90.00
Last column: nearest neighbours and their distance in Å.
Fractional positions:
Au 0.5000 0.5000 0.0000  4 Pt 2.82, 8 Ag 2.82-2.87
Ag 0.0000 0.0000 0.0000  4 Ag 2.82, 4 Pt 2.82, 4 Au 2.87
Ag 0.7500 0.2500 0.5000  4 Au 2.82, 4 Ag 2.82, 4 Pt 2.87
Pt 0.2500 0.7500 0.5000  4 Au 2.82, 8 Ag 2.82-2.87

Computed properties:
- ΔE to the lowest computed polymorph (meV/atom) = 45.9
- final energy (Ry per atom) = -0.3214
- SG = I-4m2, No. 119
- total magnetic moment (μB/cell) = 0.000
- energy relative to the elements (eV per atom) = 0.0041



No. 6
First-principles (PBEsol) data for crystalline BeHg3Mo at its relaxed geometry, as listed in Alexandria via LeMat-Bulk.

Unit cell a=4.5678 b=4.5678 c=4.5678 alpha=90.00 beta=90.00 gamma=90.00
Last column: nearest neighbours and their distance in Å.
Fractional positions:
Be 0.0000 0.0000 0.0000  6 Hg 2.28
Mo 0.5000 0.5000 0.5000  12 Hg 3.23
Hg 0.0000 0.5000 0.0000  2 Be 2.28
Hg 0.0000 0.0000 0.5000  2 Be 2.28
Hg 0.5000 0.0000 0.0000  2 Be 2.28

Computed properties:
- final energy (Ry per atom) = -0.1874
- SG = Pm-3m, No. 221
- total magnetic moment (μB/cell) = 2.958
- energy relative to the elements (eV per atom) = 0.9439



- Number 3 is which compound?
  BaZr3Cl